Entry 1:
Er3TmIr2 | PBE | optimized geometry

It has space group C2/m (No. 12), with a = 15.3458 Å, b = 4.2646 Å, c = 4.5660 Å, α = 90.00°, β = 107.25° and γ = 90.00°. Symmetry generates all atoms from Er at (0.0000, 0.0000, 0.0000), Er at (0.1841, 0.0000, 0.6843), Tm at (0.0000, 0.5000, 0.5000) and Ir at (0.1288, 0.5000, 0.1286).

The value obtained for the formation energy is -60.5 kJ per mole of atoms. As for the total energy: -6.6071 eV/atom.

=====

Entry 2:
ErTm2Ir2 | PBE | optimized geometry

It has space group P-3m1 (No. 164), with a = 4.7157 Å, b = 4.7157 Å, c = 5.9473 Å, α = 90.00°, β = 90.00° and γ = 120.00°. Symmetry generates all atoms from Er at (0.0000, 0.0000, 0.0000), Tm at (0.3333, 0.6667, 0.6632) and Ir at (0.3333, 0.6667, 0.1715).

The value obtained for the formation energy is -82.4 kJ per mole of atoms. As for the total energy: -7.0995 eV/atom.

=====

Entry 3:
ErTm3Ir3 | PBE | optimized geometry

It has space group R-3m (No. 166, hexagonal axes), with a = 9.5559 Å, b = 9.5559 Å, c = 5.8363 Å, α = 90.00°, β = 90.00° and γ = 120.00°. Symmetry generates all atoms from Er at (0.0000, 0.0000, 0.0000), Tm at (0.0000, 0.5000, 0.0000) and Ir at (0.0000, 0.5000, 0.5000).

The value obtained for the formation energy is -77.6 kJ per mole of atoms. As for the total energy: -7.1701 eV/atom.

=====

Entry 4:
Er3Tm2Ir2 | PBE | optimized geometry

It has space group C2/m (No. 12), with a = 11.8541 Å, b = 3.8290 Å, c = 8.6724 Å, α = 90.00°, β = 115.72° and γ = 90.00°. Symmetry generates all atoms from Er at (0.0000, 0.0000, 0.0000), Er at (0.1191, 0.0000, 0.4320), Tm at (0.1668, 0.5000, 0.8088) and Ir at (0.1774, 0.5000, 0.2327).

The value obtained for the formation energy is -64.5 kJ per mole of atoms. As for the total energy: -6.4337 eV/atom.

=====

Entry 5:
ErTm3Ir3 | PBE | optimized geometry

It has space group C2/m (No. 12), with a = 8.1709 Å, b = 11.7007 Å, c = 6.9599 Å, α = 90.00°, β = 93.07° and γ = 90.00°. Symmetry generates all atoms from Er at (0.2271, 0.0000, 0.1336), Tm at (0.0000, 0.2683, 0.0000), Tm at (0.0000, 0.3585, 0.5000), Tm at (0.1376, 0.0000, 0.6438), Ir at (0.0642, 0.5000, 0.1826) and Ir at (0.1451, 0.1744, 0.3515).

The value obtained for the formation energy is -55.8 kJ per mole of atoms. As for the total energy: -6.9436 eV/atom.

=====

Entry 6:
ErTm6Ir2 | PBE | optimized geometry

It has space group C2/m (No. 12), with a = 15.6178 Å, b = 3.7492 Å, c = 10.6392 Å, α = 90.00°, β = 129.93° and γ = 90.00°. Symmetry generates all atoms from Er at (0.0000, 0.0000, 0.0000), Tm at (0.0181, 0.0000, 0.6898), Tm at (0.1929, 0.5000, 0.0534), Tm at (0.2274, 0.5000, 0.6145) and Ir at (0.0965, 0.5000, 0.2656).

The value obtained for the formation energy is -45.6 kJ per mole of atoms. As for the total energy: -5.9294 eV/atom.